Record 1
Material: TcMoPdS2
Method: DFT, GGA-PBE
State: relaxed

Output
E_form (uncorrected) = 1.58 eV/atom
E = -26.729 eV/f.u.

Cell and atoms, written as extended XYZ:
```
5
Lattice="4.593 0.000 0.000 0.000 4.863 0.000 0.000 0.000 4.593" Properties=species:S:1:pos:R:3 pbc="T T T"
Pd 0.000 0.000 0.000
Tc 2.296 2.432 2.296
S 0.000 0.000 2.296
S 2.296 0.000 0.000
Mo 0.000 2.432 0.000
```

Record 2
Material: TeMo2PdS
Method: DFT, GGA-PBE
State: relaxed

Output
E_form (uncorrected) = 1.26 eV/atom
E = -27.813 eV/f.u.

Cell and atoms, written as extended XYZ:
```
5
Lattice="-1.538 4.590 -1.991 0.342 -1.613 -3.983 -4.986 -1.579 0.211" Properties=species:S:1:pos:R:3 pbc="T T T"
Te -3.091 0.699 -2.882
S 0.171 -0.806 -1.991
Mo -0.769 2.295 -0.995
Mo -2.493 -0.790 0.105
Pd 0.000 0.000 0.000
```

Record 3
Material: TlMoPd2S
Method: DFT, GGA-PBE
State: relaxed

Output
E_form (uncorrected) = 1.74 eV/atom
E = -19.016 eV/f.u.

Cell and atoms, written as extended XYZ:
```
5
Lattice="-0.300 -1.878 4.593 0.574 -4.824 -1.935 4.932 0.393 0.483" Properties=species:S:1:pos:R:3 pbc="T T T"
S 2.603 -3.155 1.570
Pd -0.150 -0.939 2.296
Tl 0.000 0.000 0.000
Mo 0.287 -2.412 -0.967
Pd 2.466 0.196 0.241
```